{"formula": "Er3LuNi4", "functional": "PBE-GGA", "state": "relaxed", "lattice": [[5.3610, 0.0000, 0.0000], [0.0000, 4.1131, 0.0000], [-0.0207, 0.0000, 6.9394]], "species": ["Er", "Er", "Er", "Lu", "Ni", "Ni", "Ni", "Ni"], "fractional_positions": [[0.0000, 0.0000, 0.0000], [0.2373, 0.0000, 0.4975], [0.7359, 0.5000, 0.6393], [0.5002, 0.5000, 0.1388], [0.2422, 0.5000, 0.7833], [0.4950, 0.0000, 0.8589], [0.7396, 0.0000, 0.3549], [0.9945, 0.5000, 0.2807]], "e_form_ev_per_fu": -4.01, "dft_energy_ev_per_atom": -5.56}

{"formula": "ErLuNi4", "functional": "PBE-GGA", "state": "relaxed", "lattice": [[0.0000, 3.5126, 3.5126], [3.5126, 0.0000, 3.5126], [3.5126, 3.5126, 0.0000]], "species": ["Er", "Lu", "Ni", "Ni", "Ni", "Ni"], "fractional_positions": [[0.0000, 0.0000, 0.0000], [0.2500, 0.2500, 0.2500], [0.1261, 0.6246, 0.6246], [0.6246, 0.1261, 0.6246], [0.6246, 0.6246, 0.1261], [0.6246, 0.6246, 0.6246]], "e_form_ev_per_fu": -2.96, "dft_energy_ev_per_atom": -5.72}